# 1
Below is Cr2InTcN after structural relaxation, with properties calculated at the GGA-PBE level.

a = 3.9926 Å, b = 3.9926 Å, c = 4.1433 Å
α = 90.00°, β = 90.00°, γ = 90.00°
Last column: magnetic moment on the atom in μB.
Fractional coordinates of all 5 atoms:
1 N 0.0000 0.0000 0.0000  -0.11
2 Cr 0.5000 0.0000 0.0000  1.99
3 Cr 0.0000 0.5000 0.0000  1.99
4 Tc 0.0000 0.0000 0.5000  -0.09
5 In 0.5000 0.5000 0.5000  -0.04

Properties
energy	-8.18	eV per atom
formation energy from raw total energies	-0.234	eV/f.u.

# 2
Below is CrInTcN after structural relaxation, with properties calculated at the GGA-PBE level.

a = 3.0596 Å, b = 3.0596 Å, c = 6.7324 Å
α = 90.00°, β = 90.00°, γ = 120.00°
Last column: magnetic moment on the atom in μB.
Fractional coordinates of all 4 atoms:
1 In 0.6667 0.3333 0.1720  -0.01
2 Cr 0.3333 0.6667 0.8158  0.53
3 N 0.6667 0.3333 0.7036  -0.02
4 Tc 0.0000 0.0000 0.5211  -0.17

Properties
E above lowest polymorph	85	meV per atom
energy	-7.71	eV per atom
formation energy from raw total energies	0.208	eV/f.u.

# 3
Below is CrInTcN after structural relaxation, with properties calculated at the GGA-PBE level.

a = 2.8528 Å, b = 2.7554 Å, c = 6.8387 Å
α = 90.00°, β = 90.00°, γ = 90.00°
Fractional coordinates of all 4 atoms:
1 In 0.0000 0.0000 0.8657
2 N 0.5000 0.0000 0.3131
3 Tc 0.5000 0.5000 0.5485
4 Cr 0.0000 0.5000 0.2328

Properties
E above lowest polymorph	109	meV per atom
energy	-7.69	eV per atom
formation energy from raw total energies	0.302	eV/f.u.

Which value of formation energy from raw total energies does entry 1 give?
-0.234 eV/f.u.